Density functional theory data (PBE) for crystalline TiCoSn2 at its relaxed geometry.

Cell and atoms, written as POSCAR:
```
TiCoSn2
1.0
4.162 0.000 0.000
0.000 4.162 0.000
2.081 2.081 9.336
Sn Co Ti
4 2 2
Cartesian
3.174 1.041 2.334
5.203 5.255 7.002
3.122 3.070 7.002
0.989 3.122 2.334
4.162 2.081 4.668
0.000 0.000 0.000
2.081 4.162 4.668
2.081 2.081 0.000
```

## Properties
The calculated formation energy comes out at 34.0 kJ/mol of atoms. Its relative energy among the computed polymorphs is 261 meV/atom. Its space group is I-42d. Its calculated volume is 20.220 A^3/atom. The spin magnetization comes out at 0.00 μB per formula unit.

---

Density functional theory data (PBE) for crystalline NaSrF2 at its relaxed geometry.

Cell and atoms, written as POSCAR:
```
NaSrF2
1.0
0.000 3.297 3.297
3.297 0.000 3.297
3.297 3.297 0.000
Sr Na F
1 1 2
Cartesian
3.297 3.297 3.297
0.000 0.000 0.000
4.945 4.945 4.945
1.648 1.648 1.648
```

## Properties
The value obtained for the uncorrected formation energy is -2303.2 meV/atom. Its relative energy among the computed polymorphs is 525 meV/atom. Its space group is Fm-3m. Its calculated volume is 17.912 A^3/atom. The spin magnetization comes out at 0.25 μB per formula unit.

---

Density functional theory data (PBE) for crystalline NiHgBr at its relaxed geometry.

Cell and atoms, written as POSCAR:
```
NiHgBr
1.0
-5.879 -0.609 1.099
1.484 -4.846 5.256
0.352 4.855 4.377
Ni Hg Br
4 4 4
Cartesian
-4.127 -0.424 0.774
-0.834 -0.180 5.141
-3.209 -0.420 5.590
-1.400 4.671 4.702
-2.305 2.125 5.146
-2.481 -0.302 2.958
-1.738 -2.725 5.585
-1.563 -0.297 7.774
0.075 1.190 1.076
-5.036 -1.794 4.839
0.993 1.195 5.893
-5.603 3.056 4.399
```

## Properties
The value obtained for the uncorrected formation energy is -43.6 meV/atom. Its relative energy among the computed polymorphs is 0 meV/atom. Its space group is C2/m. Its calculated volume is 23.943 A^3/atom. The spin magnetization comes out at 0.71 μB per formula unit.

---

Density functional theory data (PBE) for crystalline Tm6Tl5O at its relaxed geometry.

Cell and atoms, written as POSCAR:
```
Tm6Tl5O
1.0
6.642 0.029 0.000
1.986 7.995 0.000
0.993 3.998 5.752
Tm Tl O
6 5 1
Cartesian
6.286 6.604 0.000
5.783 1.527 1.652
2.846 6.497 1.652
3.839 10.495 4.099
2.343 1.420 0.000
6.776 5.525 4.099
4.314 4.012 3.104
1.986 7.995 4.248
0.993 3.998 1.504
5.307 8.010 2.648
4.314 4.012 0.000
0.000 0.000 0.000
```

## Properties
The value obtained for the uncorrected formation energy is -603.0 meV/atom. Its space group is C2/m. Its calculated volume is 25.427 A^3/atom. The spin magnetization comes out at 0.00 μB per formula unit.

---

Density functional theory data (PBE) for crystalline NbGaTeN2 at its relaxed geometry.

Cell and atoms, written as POSCAR:
```
NbGaTeN2
1.0
3.984 0.000 0.000
0.000 3.984 0.000
0.000 0.000 5.515
Ga N Nb Te
1 2 1 1
Cartesian
0.000 0.000 0.000
0.000 1.992 0.000
1.992 0.000 0.000
1.992 1.992 2.757
0.000 0.000 2.757
```

## Properties
The value obtained for the uncorrected formation energy is 1326.7 meV/atom. Its relative energy among the computed polymorphs is 1032 meV/atom. Its space group is P4/mmm. Its calculated volume is 17.504 A^3/atom. The spin magnetization comes out at 0.14 μB per formula unit.

---

Density functional theory data (PBE) for crystalline MgInGaGe at its relaxed geometry.

Cell and atoms, written as POSCAR:
```
MgInGaGe
1.0
4.985 0.000 0.000
2.492 4.317 0.000
2.492 1.439 4.070
Ge Mg In Ga
1 1 1 1
Cartesian
2.492 1.439 1.017
4.985 2.878 2.035
0.000 0.000 0.000
7.477 4.317 3.052
```

## Properties
The calculated formation energy comes out at 4.9 kJ/mol of atoms. Its space group is F-43m. Its calculated volume is 21.895 A^3/atom. The spin magnetization comes out at 0.00 μB per formula unit.

---

Density functional theory data (PBE) for crystalline ScTaTi2 at its relaxed geometry.

Cell and atoms, written as POSCAR:
```
ScTaTi2
1.0
3.023 0.000 0.000
1.511 2.618 0.000
1.511 0.873 9.693
Ti Ta Sc
2 1 1
Cartesian
1.511 0.873 7.384
1.511 0.873 2.309
3.023 1.745 0.004
3.023 1.745 4.844
```

## Properties
The calculated formation energy comes out at 14.6 kJ/mol of atoms. Its space group is R3m. Its calculated volume is 19.173 A^3/atom. The spin magnetization comes out at 0.00 μB per formula unit.

---

Density functional theory data (PBE) for crystalline PrSmAlGe at its relaxed geometry.

Cell and atoms, written as POSCAR:
```
PrSmAlGe
1.0
4.506 0.000 0.000
0.000 4.124 0.000
-2.253 0.000 5.651
Sm Ge Pr Al
1 1 1 1
Cartesian
2.253 2.062 4.048
2.253 2.062 0.821
0.000 0.000 1.596
0.000 0.000 4.836
```

## Properties
The calculated formation energy comes out at -64.0 kJ/mol of atoms. Its space group is Amm2. Its calculated volume is 26.253 A^3/atom. The spin magnetization comes out at 0.27 μB per formula unit.